# 1
VASP calculation (GGA-PBE) on a relaxed structure of Li2MnSb.

Calculated values
SG	P4mm

abc: 3.5298 3.5298 6.0268
angles: 90.00 90.00 90.00
Closest atoms and distances in Å follow each position.
Positions (direct):
1 Li 0.0000 0.0000 0.0000  4 Li 2.91, 2 Mn 2.94-3.08, 4 Sb 2.99
2 Li 0.5000 0.5000 0.2490  2 Sb 2.87-3.16, 4 Li 2.91, 4 Mn 2.95
3 Mn 0.0000 0.0000 0.5114  4 Sb 2.81, 6 Li 2.94-3.08
4 Sb 0.5000 0.5000 0.7254  4 Mn 2.81, 5 Li 2.87-2.99

***

# 2
VASP calculation (GGA-PBE) on a relaxed structure of LiMnSb2.

Calculated values
SG	Immm
energy above the most stable polymorph in this dataset	119	meV/atom

abc: 5.1048 5.1048 5.1048
angles: 130.36 120.55 81.03
Closest atoms and distances in Å follow each position.
Positions (direct):
1 Li 0.0000 0.0000 0.0000  8 Sb 2.92-3.17
2 Mn 0.5000 0.5000 0.0000  4 Sb 2.87
3 Sb 0.2547 0.7547 0.5000  2 Mn 2.87, 4 Li 2.92-3.17
4 Sb 0.7453 0.2453 0.5000  2 Mn 2.87, 4 Li 2.92-3.17

***

# 3
VASP calculation (GGA-PBE) on a relaxed structure of LiMnSb2.

Calculated values
SG	C2/m
energy above the most stable polymorph in this dataset	110	meV/atom

abc: 5.1752 5.1752 3.1972
angles: 95.31 95.31 101.16
Closest atoms and distances in Å follow each position.
Positions (direct):
1 Li 0.0000 0.0000 0.0000  8 Sb 2.91-3.17, 2 Li 3.20
2 Mn 0.5000 0.5000 0.0000  8 Sb 2.91-3.17, 2 Mn 3.20
3 Sb 0.0000 0.5000 0.5000  4 Mn 2.91-3.17, 4 Li 2.91-3.17, 2 Sb 3.20
4 Sb 0.5000 0.0000 0.5000  4 Mn 2.91-3.17, 4 Li 2.91-3.17, 2 Sb 3.20

***

# 4
VASP calculation (GGA-PBE) on a relaxed structure of LiMnSb2.

Calculated values
SG	P4mm
energy above the most stable polymorph in this dataset	166	meV/atom

abc: 3.4419 3.4419 7.5049
angles: 90.00 90.00 90.00
Closest atoms and distances in Å follow each position.
Positions (direct):
1 Li 0.0000 0.0000 0.0000  5 Sb 2.82-2.83, 4 Mn 2.86
2 Mn 0.5000 0.5000 0.1993  5 Sb 2.77-2.93, 4 Li 2.86
3 Sb 0.0000 0.0000 0.3763  4 Mn 2.77, 1 Li 2.82
4 Sb 0.5000 0.5000 0.8087  4 Li 2.83, 1 Mn 2.93

***

# 5
VASP calculation (GGA-PBE) on a relaxed structure of Li2Mn2Sb.

Calculated values
SG	I4/mmm

abc: 9.3836 9.3836 9.3836
angles: 161.02 161.02 26.96
Closest atoms and distances in Å follow each position.
Positions (direct):
1 Li 0.1184 0.1184 0.0000  4 Mn 2.86, 4 Sb 3.07, 4 Li 3.09
2 Li 0.8816 0.8816 0.0000  4 Mn 2.86, 4 Sb 3.07, 4 Li 3.09
3 Mn 0.2500 0.7500 0.5000  4 Mn 2.19
4 Mn 0.7500 0.2500 0.5000  4 Mn 2.19
5 Sb 0.5000 0.5000 0.0000  8 Li 3.07, 4 Sb 3.09

***

# 6
VASP calculation (GGA-PBE) on a relaxed structure of LiMnSb2.

Calculated values
SG	P4/mmm
energy above the most stable polymorph in this dataset	463	meV/atom

abc: 3.1516 3.1516 10.6027
angles: 90.00 90.00 90.00
Closest atoms and distances in Å follow each position.
Positions (direct):
1 Li 0.0000 0.0000 0.0000  2 Sb 2.66
2 Mn 0.0000 0.0000 0.5000  2 Sb 2.65
3 Sb 0.0000 0.0000 0.2504  1 Mn 2.65, 1 Li 2.66
4 Sb 0.0000 0.0000 0.7496  1 Mn 2.65, 1 Li 2.66

***

# 7
VASP calculation (GGA-PBE) on a relaxed structure of Li2MnSb.

Calculated values
SG	R3m

abc: 9.4468 9.4468 9.4468
angles: 19.64 19.64 19.64
Closest atoms and distances in Å follow each position.
Positions (direct):
1 Li 0.0000 0.0000 0.0000  3 Mn 2.89, 9 Li 3.18-3.22
2 Li 0.2406 0.2406 0.2406  3 Sb 2.92, 9 Li 3.18-3.22
3 Mn 0.7462 0.7462 0.7462  3 Li 2.89, 3 Sb 2.90, 6 Mn 3.22
4 Sb 0.4931 0.4931 0.4931  3 Mn 2.90, 3 Li 2.92, 6 Sb 3.22

***

# 8
VASP calculation (GGA-PBE) on a relaxed structure of Li4MnSb.

Calculated values
SG	F-43m

abc: 5.2197 5.2197 5.2197
angles: 60.00 60.00 60.00
Closest atoms and distances in Å follow each position.
Positions (direct):
1 Li 0.1248 0.1248 0.1248  6 Li 2.61
2 Li 0.1248 0.1248 0.6256  6 Li 2.61
3 Li 0.1248 0.6256 0.1248  6 Li 2.61
4 Li 0.6256 0.1248 0.1248  6 Li 2.61
5 Mn 0.7500 0.7500 0.7500  12 Li 3.06, 4 Sb 3.20
6 Sb 0.5000 0.5000 0.5000  12 Li 3.06, 4 Mn 3.20

***

# 9
VASP calculation (GGA-PBE) on a relaxed structure of LiMnSb2.

Calculated values
SG	Cmmm
energy above the most stable polymorph in this dataset	66	meV/atom

abc: 3.2772 3.2772 8.0815
angles: 90.00 90.00 103.42
Closest atoms and distances in Å follow each position.
Positions (direct):
1 Li 0.0000 0.0000 0.0000  4 Sb 2.98, 4 Li 3.28
2 Mn 0.0000 0.0000 0.5000  4 Sb 2.76
3 Sb 0.5000 0.5000 0.2694  2 Mn 2.76, 2 Li 2.98
4 Sb 0.5000 0.5000 0.7306  2 Mn 2.76, 2 Li 2.98

***

# 10
VASP calculation (GGA-PBE) on a relaxed structure of LiMnSb2.

Calculated values
SG	R-3m
energy above the most stable polymorph in this dataset	0	meV/atom

abc: 8.2270 8.2270 8.2270
angles: 24.73 24.73 24.73
Closest atoms and distances in Å follow each position.
Positions (direct):
1 Li 0.0000 0.0000 0.0000  6 Sb 3.01
2 Mn 0.5000 0.5000 0.5000  6 Sb 2.69
3 Sb 0.2406 0.2406 0.2406  3 Mn 2.69, 3 Li 3.01
4 Sb 0.7594 0.7594 0.7594  3 Mn 2.69, 3 Li 3.01

***

# 11
VASP calculation (GGA-PBE) on a relaxed structure of LiMn2Sb.

Calculated values
SG	I-42d

abc: 9.2066 9.2066 9.2066
angles: 157.07 157.07 32.65
Closest atoms and distances in Å follow each position.
Positions (direct):
1 Li 0.0000 0.0000 0.0000  4 Mn 2.46, 4 Sb 2.59
2 Li 0.7500 0.2500 0.5000  4 Mn 2.46, 4 Sb 2.59
3 Mn 0.0383 0.6250 0.9133  2 Mn 2.19
4 Mn 0.3750 0.2883 0.4133  2 Mn 2.19
5 Mn 0.7117 0.1250 0.0867  2 Mn 2.19
6 Mn 0.8750 0.9617 0.5867  2 Mn 2.19
7 Sb 0.2500 0.7500 0.5000  4 Li 2.59, 4 Mn 2.69
8 Sb 0.5000 0.5000 0.0000  4 Li 2.59, 4 Mn 2.69

***

# 12
VASP calculation (GGA-PBE) on a relaxed structure of Li2MnSb.

Calculated values
SG	P4/mmm

abc: 3.1005 3.1005 7.9122
angles: 90.00 90.00 90.00
Closest atoms and distances in Å follow each position.
Positions (direct):
1 Li 0.0000 0.0000 0.2488  4 Mn 2.95, 4 Sb 2.96, 4 Li 3.10
2 Li 0.0000 0.0000 0.7512  4 Mn 2.95, 4 Sb 2.96, 4 Li 3.10
3 Mn 0.5000 0.5000 0.0000  8 Li 2.95, 4 Mn 3.10
4 Sb 0.5000 0.5000 0.5000  8 Li 2.96, 4 Sb 3.10

***

no.,formation energy without anion corrections (eV/atom)
1,0.001
2,-0.027
3,-0.036
4,0.020
5,0.274
6,0.317
7,0.174
8,0.058
9,-0.080
10,-0.146
11,0.499
12,0.103